No. 1
The following is a PBE calculation of crystalline Cs2NaCdAs2 at its relaxed geometry, from Alexandria via LeMat-Bulk.

Summary:
E	-2.577	eV/atom
volume	418	Å³ per cell
magnetization	0.21	μB per formula unit
D(E_F)	11.2	states/eV per cell
energy of formation from the pure elements	-370.5	meV/atom

a = 9.791 Å, b = 9.791 Å, c = 9.791 Å
α = 137.54°, β = 61.09°, γ = 138.21°
Atoms (fractional coordinates):
Cs: 0.171 0.241 0.412
Cs: 0.329 0.741 0.070
Cs: 0.671 0.259 0.930
Cs: 0.829 0.759 0.588
Na: 0.250 0.250 0.000
Na: 0.750 0.750 0.000
Cd: 0.250 0.750 0.500
Cd: 0.750 0.250 0.500
As: 0.090 0.721 0.811
As: 0.410 0.221 0.631
As: 0.590 0.779 0.369
As: 0.910 0.279 0.189

---

No. 2
The following is a PBE calculation of crystalline CsCd2NiAs at its relaxed geometry, from Alexandria via LeMat-Bulk.

Summary:
E	-2.611	eV/atom
volume	132	Å³ per cell
magnetization	0.00	μB per formula unit
D(E_F)	4.4	states/eV per cell
energy of formation from the pure elements	12.2	meV/atom

a = 5.261 Å, b = 5.261 Å, c = 4.760 Å
α = 90.00°, β = 90.00°, γ = 90.00°
Atoms (fractional coordinates):
Cs: 0.000 0.000 0.000
Cd: 0.000 0.500 0.500
Cd: 0.500 0.000 0.500
Ni: 0.500 0.500 0.500
As: 0.500 0.500 0.000

---

No. 3
The following is a PBE calculation of crystalline CsCdAsO4 at its relaxed geometry, from Alexandria via LeMat-Bulk.

Summary:
E	-5.179	eV/atom
volume	270	Å³ per cell
magnetization	0.00	μB per formula unit
D(E_F)	0.0	states/eV per cell
uncorrected formation energy	-32.940	kcal/mol of atoms

a = 5.798 Å, b = 6.122 Å, c = 7.963 Å
α = 90.00°, β = 107.51°, γ = 90.00°
Atoms (fractional coordinates):
Cs: 0.203 0.250 0.435
Cs: 0.797 0.750 0.565
Cd: 0.303 0.250 0.966
Cd: 0.697 0.750 0.034
As: 0.246 0.750 0.148
As: 0.754 0.250 0.852
O: 0.038 0.750 0.942
O: 0.086 0.750 0.298
O: 0.449 0.532 0.173
O: 0.449 0.968 0.173
O: 0.551 0.032 0.827
O: 0.551 0.468 0.827
O: 0.914 0.250 0.702
O: 0.962 0.250 0.058

---

No. 4
The following is a PBE calculation of crystalline Cs2CdAs2O6 at its relaxed geometry, from Alexandria via LeMat-Bulk.

Summary:
E	-5.162	eV/atom
volume	206	Å³ per cell
magnetization	0.00	μB per formula unit
uncorrected formation energy	-31.684	kcal/mol of atoms

a = 6.274 Å, b = 6.274 Å, c = 7.061 Å
α = 115.53°, β = 115.53°, γ = 58.69°
Atoms (fractional coordinates):
Cs: 0.219 0.219 0.178
Cs: 0.781 0.781 0.822
Cd: 0.000 0.000 0.500
As: 0.440 0.440 0.793
As: 0.560 0.560 0.207
O: 0.262 0.262 0.693
O: 0.263 0.732 0.264
O: 0.268 0.737 0.736
O: 0.732 0.263 0.264
O: 0.737 0.268 0.736
O: 0.738 0.738 0.307